A plane-wave DFT calculation with PBE-GGA was carried out for a geometry-optimized SbRhSe2 structure.

Properties
Its symmetry is No. 99. As for the energy: -4.57 eV per atom.

```
data_SbRhSe2
_cell_length_a 3.415
_cell_length_b 3.415
_cell_length_c 7.667
_cell_angle_alpha 90.00
_cell_angle_beta 90.00
_cell_angle_gamma 90.00
_symmetry_space_group_name_H-M 'P 1'
_symmetry_Int_Tables_number 1
_symmetry_space_group_name_Hall 'P 1'
loop_
_atom_site_label
_atom_site_type_symbol
_atom_site_fract_x
_atom_site_fract_y
_atom_site_fract_z
Sb1 Sb 0.000 0.000 0.000
Rh1 Rh 0.500 0.500 0.739
Se1 Se 0.000 0.000 0.602
Se2 Se 0.500 0.500 0.201
```

=====

A plane-wave DFT calculation with PBE-GGA was carried out for a geometry-optimized Sb2RhSe structure.

Properties
Its symmetry is No. 65. As for the energy: -4.61 eV per atom.

```
data_Sb2RhSe
_cell_length_a 4.987
_cell_length_b 4.987
_cell_length_c 3.456
_cell_angle_alpha 90.00
_cell_angle_beta 90.00
_cell_angle_gamma 102.15
_symmetry_space_group_name_H-M 'P 1'
_symmetry_Int_Tables_number 1
_symmetry_space_group_name_Hall 'P 1'
loop_
_atom_site_label
_atom_site_type_symbol
_atom_site_fract_x
_atom_site_fract_y
_atom_site_fract_z
Sb1 Sb 0.000 0.500 0.000
Sb2 Sb 0.500 0.000 0.000
Rh1 Rh 0.000 0.000 0.500
Se1 Se 0.500 0.500 0.500
```

=====

A plane-wave DFT calculation with PBE-GGA was carried out for a geometry-optimized Sb2RhSe structure.

Properties
Its symmetry is No. 139. As for the energy: -4.77 eV per atom.

```
data_Sb2RhSe
_cell_length_a 4.898
_cell_length_b 4.898
_cell_length_c 4.898
_cell_angle_alpha 110.62
_cell_angle_beta 110.62
_cell_angle_gamma 107.20
_symmetry_space_group_name_H-M 'P 1'
_symmetry_Int_Tables_number 1
_symmetry_space_group_name_Hall 'P 1'
loop_
_atom_site_label
_atom_site_type_symbol
_atom_site_fract_x
_atom_site_fract_y
_atom_site_fract_z
Sb1 Sb 0.000 0.500 0.500
Sb2 Sb 0.500 0.000 0.500
Rh1 Rh 0.000 0.000 0.000
Se1 Se 0.500 0.500 0.000
```

=====

A plane-wave DFT calculation with PBE-GGA was carried out for a geometry-optimized Sb3RhSe structure.

Properties
Its symmetry is No. 221. As for the energy: -4.32 eV per atom.

```
data_Sb3RhSe
_cell_length_a 5.149
_cell_length_b 5.149
_cell_length_c 5.149
_cell_angle_alpha 90.00
_cell_angle_beta 90.00
_cell_angle_gamma 90.00
_symmetry_space_group_name_H-M 'P 1'
_symmetry_Int_Tables_number 1
_symmetry_space_group_name_Hall 'P 1'
loop_
_atom_site_label
_atom_site_type_symbol
_atom_site_fract_x
_atom_site_fract_y
_atom_site_fract_z
Sb1 Sb 0.000 0.000 0.500
Sb2 Sb 0.000 0.500 0.000
Sb3 Sb 0.500 0.000 0.000
Rh1 Rh 0.000 0.000 0.000
Se1 Se 0.500 0.500 0.500
```

=====

A plane-wave DFT calculation with PBE-GGA was carried out for a geometry-optimized SbRhSe2 structure.

Properties
Its symmetry is No. 119. As for the energy: -4.30 eV per atom.

```
data_SbRhSe2
_cell_length_a 4.895
_cell_length_b 4.895
_cell_length_c 4.895
_cell_angle_alpha 123.65
_cell_angle_beta 123.65
_cell_angle_gamma 83.79
_symmetry_space_group_name_H-M 'P 1'
_symmetry_Int_Tables_number 1
_symmetry_space_group_name_Hall 'P 1'
loop_
_atom_site_label
_atom_site_type_symbol
_atom_site_fract_x
_atom_site_fract_y
_atom_site_fract_z
Sb1 Sb 0.000 0.000 0.000
Rh1 Rh 0.750 0.250 0.500
Se1 Se 0.250 0.750 0.500
Se2 Se 0.500 0.500 0.000
```

=====

A plane-wave DFT calculation with PBE-GGA was carried out for a geometry-optimized Sb2RhSe structure.

Properties
Its symmetry is No. 99. As for the energy: -4.73 eV per atom.

```
data_Sb2RhSe
_cell_length_a 3.421
_cell_length_b 3.421
_cell_length_c 7.386
_cell_angle_alpha 90.00
_cell_angle_beta 90.00
_cell_angle_gamma 90.00
_symmetry_space_group_name_H-M 'P 1'
_symmetry_Int_Tables_number 1
_symmetry_space_group_name_Hall 'P 1'
loop_
_atom_site_label
_atom_site_type_symbol
_atom_site_fract_x
_atom_site_fract_y
_atom_site_fract_z
Sb1 Sb 0.000 0.000 0.000
Sb2 Sb 0.500 0.500 0.366
Rh1 Rh 0.500 0.500 0.804
Se1 Se 0.000 0.000 0.595
```

=====

A plane-wave DFT calculation with PBE-GGA was carried out for a geometry-optimized SbRhSe2 structure.

Properties
Its symmetry is No. 122. As for the energy: -4.58 eV per atom.

```
data_SbRhSe2
_cell_length_a 7.194
_cell_length_b 7.194
_cell_length_c 7.194
_cell_angle_alpha 128.93
_cell_angle_beta 128.93
_cell_angle_gamma 75.12
_symmetry_space_group_name_H-M 'P 1'
_symmetry_Int_Tables_number 1
_symmetry_space_group_name_Hall 'P 1'
loop_
_atom_site_label
_atom_site_type_symbol
_atom_site_fract_x
_atom_site_fract_y
_atom_site_fract_z
Sb1 Sb 0.000 0.000 0.000
Sb2 Sb 0.750 0.250 0.500
Rh1 Rh 0.250 0.750 0.500
Rh2 Rh 0.500 0.500 0.000
Se1 Se 0.184 0.625 0.059
Se2 Se 0.375 0.434 0.559
Se3 Se 0.566 0.125 0.941
Se4 Se 0.875 0.816 0.441
```

=====

A plane-wave DFT calculation with PBE-GGA was carried out for a geometry-optimized SbRhSe structure.

Properties
Its symmetry is No. 156. As for the energy: -5.24 eV per atom.

```
data_SbRhSe
_cell_length_a 3.717
_cell_length_b 3.717
_cell_length_c 5.286
_cell_angle_alpha 90.00
_cell_angle_beta 90.00
_cell_angle_gamma 120.00
_symmetry_space_group_name_H-M 'P 1'
_symmetry_Int_Tables_number 1
_symmetry_space_group_name_Hall 'P 1'
loop_
_atom_site_label
_atom_site_type_symbol
_atom_site_fract_x
_atom_site_fract_y
_atom_site_fract_z
Sb1 Sb 0.000 0.000 0.000
Rh1 Rh 0.333 0.667 0.702
Se1 Se 0.667 0.333 0.448
```

=====

A plane-wave DFT calculation with PBE-GGA was carried out for a geometry-optimized SbRhSe structure.

Properties
Its symmetry is No. 107. As for the energy: -5.11 eV per atom.

```
data_SbRhSe
_cell_length_a 6.470
_cell_length_b 6.470
_cell_length_c 6.470
_cell_angle_alpha 151.19
_cell_angle_beta 151.19
_cell_angle_gamma 41.19
_symmetry_space_group_name_H-M 'P 1'
_symmetry_Int_Tables_number 1
_symmetry_space_group_name_Hall 'P 1'
loop_
_atom_site_label
_atom_site_type_symbol
_atom_site_fract_x
_atom_site_fract_y
_atom_site_fract_z
Sb1 Sb 0.000 0.000 0.000
Rh1 Rh 0.356 0.356 0.000
Se1 Se 0.745 0.745 0.000
```

=====

A plane-wave DFT calculation with PBE-GGA was carried out for a geometry-optimized SbRhSe2 structure.

Properties
Its symmetry is No. 65. As for the energy: -4.81 eV per atom.

```
data_SbRhSe2
_cell_length_a 5.067
_cell_length_b 5.067
_cell_length_c 3.615
_cell_angle_alpha 90.00
_cell_angle_beta 90.00
_cell_angle_gamma 116.11
_symmetry_space_group_name_H-M 'P 1'
_symmetry_Int_Tables_number 1
_symmetry_space_group_name_Hall 'P 1'
loop_
_atom_site_label
_atom_site_type_symbol
_atom_site_fract_x
_atom_site_fract_y
_atom_site_fract_z
Sb1 Sb 0.000 0.000 0.000
Rh1 Rh 0.500 0.500 0.000
Se1 Se 0.296 0.704 0.500
Se2 Se 0.704 0.296 0.500
```

=====

A plane-wave DFT calculation with PBE-GGA was carried out for a geometry-optimized Sb2RhSe structure.

Properties
Its symmetry is No. 47. As for the energy: -4.51 eV per atom.

```
data_Sb2RhSe
_cell_length_a 3.469
_cell_length_b 4.850
_cell_length_c 5.040
_cell_angle_alpha 90.00
_cell_angle_beta 90.00
_cell_angle_gamma 90.00
_symmetry_space_group_name_H-M 'P 1'
_symmetry_Int_Tables_number 1
_symmetry_space_group_name_Hall 'P 1'
loop_
_atom_site_label
_atom_site_type_symbol
_atom_site_fract_x
_atom_site_fract_y
_atom_site_fract_z
Sb1 Sb 0.000 0.000 0.000
Sb2 Sb 0.500 0.000 0.500
Rh1 Rh 0.000 0.500 0.500
Se1 Se 0.500 0.500 0.000
```

=====

A plane-wave DFT calculation with PBE-GGA was carried out for a geometry-optimized SbRhSe4 structure.

Properties
Its symmetry is No. 12. As for the energy: -4.58 eV per atom.

```
data_SbRhSe4
_cell_length_a 6.544
_cell_length_b 6.544
_cell_length_c 6.551
_cell_angle_alpha 99.58
_cell_angle_beta 99.58
_cell_angle_gamma 33.71
_symmetry_space_group_name_H-M 'P 1'
_symmetry_Int_Tables_number 1
_symmetry_space_group_name_Hall 'P 1'
loop_
_atom_site_label
_atom_site_type_symbol
_atom_site_fract_x
_atom_site_fract_y
_atom_site_fract_z
Sb1 Sb 0.000 0.000 0.000
Rh1 Rh 0.500 0.500 0.500
Se1 Se 0.110 0.110 0.389
Se2 Se 0.378 0.378 0.152
Se3 Se 0.622 0.622 0.848
Se4 Se 0.890 0.890 0.611
```

=====

A plane-wave DFT calculation with PBE-GGA was carried out for a geometry-optimized Sb2RhSe structure.

Properties
Its symmetry is No. 8. As for the energy: -4.85 eV per atom.

```
data_Sb2RhSe
_cell_length_a 3.990
_cell_length_b 3.990
_cell_length_c 7.708
_cell_angle_alpha 96.54
_cell_angle_beta 96.54
_cell_angle_gamma 48.24
_symmetry_space_group_name_H-M 'P 1'
_symmetry_Int_Tables_number 1
_symmetry_space_group_name_Hall 'P 1'
loop_
_atom_site_label
_atom_site_type_symbol
_atom_site_fract_x
_atom_site_fract_y
_atom_site_fract_z
Sb1 Sb 0.000 0.000 0.000
Sb2 Sb 0.244 0.244 0.693
Rh1 Rh 0.734 0.734 0.211
Se1 Se 0.442 0.442 0.386
```

=====

A plane-wave DFT calculation with PBE-GGA was carried out for a geometry-optimized Sb2RhSe structure.

Properties
Its symmetry is No. 38. As for the energy: -4.99 eV per atom.

```
data_Sb2RhSe
_cell_length_a 3.774
_cell_length_b 5.217
_cell_length_c 5.217
_cell_angle_alpha 61.67
_cell_angle_beta 90.00
_cell_angle_gamma 90.00
_symmetry_space_group_name_H-M 'P 1'
_symmetry_Int_Tables_number 1
_symmetry_space_group_name_Hall 'P 1'
loop_
_atom_site_label
_atom_site_type_symbol
_atom_site_fract_x
_atom_site_fract_y
_atom_site_fract_z
Sb1 Sb 0.000 0.000 0.000
Sb2 Sb 0.500 0.292 0.292
Rh1 Rh 0.500 0.794 0.794
Se1 Se 0.000 0.600 0.600
```

=====

A plane-wave DFT calculation with PBE-GGA was carried out for a geometry-optimized SbRhSe2 structure.

Properties
Its symmetry is No. 47. As for the energy: -4.30 eV per atom.

```
data_SbRhSe2
_cell_length_a 3.263
_cell_length_b 4.869
_cell_length_c 4.903
_cell_angle_alpha 90.00
_cell_angle_beta 90.00
_cell_angle_gamma 90.00
_symmetry_space_group_name_H-M 'P 1'
_symmetry_Int_Tables_number 1
_symmetry_space_group_name_Hall 'P 1'
loop_
_atom_site_label
_atom_site_type_symbol
_atom_site_fract_x
_atom_site_fract_y
_atom_site_fract_z
Sb1 Sb 0.000 0.000 0.000
Rh1 Rh 0.500 0.000 0.500
Se1 Se 0.000 0.500 0.500
Se2 Se 0.500 0.500 0.000
```

=====

A plane-wave DFT calculation with PBE-GGA was carried out for a geometry-optimized SbRhSe2 structure.

Properties
Its symmetry is No. 123. As for the energy: -4.39 eV per atom.

```
data_SbRhSe2
_cell_length_a 4.777
_cell_length_b 4.777
_cell_length_c 3.430
_cell_angle_alpha 90.00
_cell_angle_beta 90.00
_cell_angle_gamma 90.00
_symmetry_space_group_name_H-M 'P 1'
_symmetry_Int_Tables_number 1
_symmetry_space_group_name_Hall 'P 1'
loop_
_atom_site_label
_atom_site_type_symbol
_atom_site_fract_x
_atom_site_fract_y
_atom_site_fract_z
Sb1 Sb 0.000 0.000 0.000
Rh1 Rh 0.500 0.500 0.000
Se1 Se 0.000 0.500 0.500
Se2 Se 0.500 0.000 0.500
```

=====

A plane-wave DFT calculation with PBE-GGA was carried out for a geometry-optimized SbRhSe2 structure.

Properties
Its symmetry is No. 38. As for the energy: -4.86 eV per atom.

```
data_SbRhSe2
_cell_length_a 3.864
_cell_length_b 5.185
_cell_length_c 5.185
_cell_angle_alpha 58.16
_cell_angle_beta 90.00
_cell_angle_gamma 90.00
_symmetry_space_group_name_H-M 'P 1'
_symmetry_Int_Tables_number 1
_symmetry_space_group_name_Hall 'P 1'
loop_
_atom_site_label
_atom_site_type_symbol
_atom_site_fract_x
_atom_site_fract_y
_atom_site_fract_z
Sb1 Sb 0.000 0.000 0.000
Rh1 Rh 0.500 0.802 0.802
Se1 Se 0.000 0.621 0.621
Se2 Se 0.500 0.259 0.259
```

=====

A plane-wave DFT calculation with PBE-GGA was carried out for a geometry-optimized SbRhSe2 structure.

Properties
Its symmetry is No. 166. As for the energy: -4.31 eV per atom.

```
data_SbRhSe2
_cell_length_a 12.451
_cell_length_b 12.451
_cell_length_c 12.451
_cell_angle_alpha 13.69
_cell_angle_beta 13.69
_cell_angle_gamma 13.69
_symmetry_space_group_name_H-M 'P 1'
_symmetry_Int_Tables_number 1
_symmetry_space_group_name_Hall 'P 1'
loop_
_atom_site_label
_atom_site_type_symbol
_atom_site_fract_x
_atom_site_fract_y
_atom_site_fract_z
Sb1 Sb 0.000 0.000 0.000
Rh1 Rh 0.500 0.500 0.500
Se1 Se 0.436 0.436 0.436
Se2 Se 0.564 0.564 0.564
```

=====

A plane-wave DFT calculation with PBE-GGA was carried out for a geometry-optimized SbRhSe2 structure.

Properties
Its symmetry is No. 123. As for the energy: -4.50 eV per atom.

```
data_SbRhSe2
_cell_length_a 3.120
_cell_length_b 3.120
_cell_length_c 8.598
_cell_angle_alpha 90.00
_cell_angle_beta 90.00
_cell_angle_gamma 90.00
_symmetry_space_group_name_H-M 'P 1'
_symmetry_Int_Tables_number 1
_symmetry_space_group_name_Hall 'P 1'
loop_
_atom_site_label
_atom_site_type_symbol
_atom_site_fract_x
_atom_site_fract_y
_atom_site_fract_z
Sb1 Sb 0.000 0.000 0.000
Rh1 Rh 0.000 0.000 0.500
Se1 Se 0.500 0.500 0.321
Se2 Se 0.500 0.500 0.679
```

=====

A plane-wave DFT calculation with PBE-GGA was carried out for a geometry-optimized SbRh3Se structure.

Properties
Its symmetry is No. 221. As for the energy: -5.57 eV per atom.

```
data_SbRh3Se
_cell_length_a 4.616
_cell_length_b 4.616
_cell_length_c 4.616
_cell_angle_alpha 90.00
_cell_angle_beta 90.00
_cell_angle_gamma 90.00
_symmetry_space_group_name_H-M 'P 1'
_symmetry_Int_Tables_number 1
_symmetry_space_group_name_Hall 'P 1'
loop_
_atom_site_label
_atom_site_type_symbol
_atom_site_fract_x
_atom_site_fract_y
_atom_site_fract_z
Sb1 Sb 0.000 0.000 0.000
Rh1 Rh 0.000 0.500 0.500
Rh2 Rh 0.500 0.000 0.500
Rh3 Rh 0.500 0.500 0.000
Se1 Se 0.500 0.500 0.500
```